5
Lattice="-0.303 0.430 4.458 -4.477 0.095 -0.313 -0.124 -4.468 0.422" Properties=species:S:1:pos:R:3 comment="ZnFeMo3 (GGA-PBE, optimized geometry)" volume_a3_per_atom=18.1 formation_energy_ev_per_atom=2.050 m_tot_mub_per_fu=0.000 relative_energy_ev_per_atom=0.9286 crystal_system=cubic spacegroup=Pm-3m pbc="T T T"
Mo -2.239 0.048 -0.157
Mo -0.062 -2.234 0.211
Mo -0.151 0.215 2.229
Zn 0.000 0.000 0.000
Fe -2.452 -1.971 2.284



3
Lattice="6.652 0.007 -0.006 6.022 2.536 0.013 0.630 -0.475 2.484" Properties=species:S:1:pos:R:3 comment="ZnFeMo (GGA-PBE, optimized geometry)" volume_a3_per_atom=14.0 formation_energy_ev_per_atom=0.123 m_tot_mub_per_fu=2.376 relative_energy_ev_per_atom=0.0124 crystal_system=orthorhombic spacegroup=Fmm2 pbc="T T T"
Fe 0.656 -0.469 2.479
Mo 4.696 0.544 1.648
Zn 8.583 1.518 0.849



3
Lattice="4.248 0.000 0.000 -2.124 3.679 0.000 0.000 0.000 2.601" Properties=species:S:1:pos:R:3 comment="ZnFeMo (GGA-PBE, optimized geometry)" volume_a3_per_atom=13.5 formation_energy_ev_per_atom=0.110 m_tot_mub_per_fu=1.219 relative_energy_ev_per_atom=0.0000 crystal_system=trigonal spacegroup=P3m1 pbc="T T T"
Fe 0.000 0.000 2.598
Mo 2.124 1.226 0.716
Zn 0.000 2.453 1.888



6
Lattice="-1.493 -3.411 3.198 -3.775 0.930 2.995 -4.290 -2.287 -0.676" Properties=species:S:1:pos:R:3 comment="Zn4FeMo (GGA-PBE, optimized geometry)" volume_a3_per_atom=13.9 formation_energy_ev_per_atom=0.206 m_tot_mub_per_fu=2.432 crystal_system=cubic spacegroup=F-43m pbc="T T T"
Zn -4.329 -3.496 3.670
Zn -5.731 -2.933 1.729
Zn -5.473 -1.321 3.569
Zn -3.581 -1.787 2.067
Fe -7.168 -3.576 4.138
Mo 0.000 0.000 0.000



6
Lattice="-3.827 -1.772 2.999 -4.018 3.054 1.142 -4.653 -0.972 -2.046" Properties=species:S:1:pos:R:3 comment="ZnFeMo4 (GGA-PBE, optimized geometry)" volume_a3_per_atom=16.3 formation_energy_ev_per_atom=0.516 m_tot_mub_per_fu=1.984 crystal_system=cubic spacegroup=F-43m pbc="T T T"
Zn -9.373 0.232 1.571
Fe 0.000 0.000 0.000
Mo -6.599 -0.769 2.283
Mo -7.012 -0.369 -0.236
Mo -6.695 1.641 1.356
Mo -4.689 0.116 0.786



4
Lattice="-2.752 -3.306 -2.929 -0.481 -2.228 -4.678 1.685 -4.078 -0.327" Properties=species:S:1:pos:R:3 comment="ZrFe2Mo (GGA-PBE, optimized geometry)" volume_a3_per_atom=15.1 formation_energy_ev_per_atom=0.116 m_tot_mub_per_fu=3.335 crystal_system=orthorhombic spacegroup=Imm2 pbc="T T T"
Fe 1.599 -4.103 -0.454
Fe -1.148 -7.206 -5.932
Mo -0.694 -4.780 -3.847
Zr -0.395 -2.406 -1.995